Below is crystalline In2B2W at its relaxed geometry, with properties calculated at the PBE level.

Summary:
The crystal system is tetragonal. Its final energy is -5.318 eV per atom. The value obtained for the formation energy is 100.3 kJ per mole of atoms.

The structure in POSCAR format:
```
In2B2W
1.0
2.8788 0.0000 0.0000
0.0000 2.8788 0.0000
0.0000 0.0000 17.7876
In B W
4 4 2
Cartesian
0.0000 0.0000 2.2215
0.0000 0.0000 15.5661
1.4394 1.4394 6.6723
1.4394 1.4394 11.1153
0.0000 1.4394 4.4469
0.0000 1.4394 13.3407
1.4394 0.0000 4.4469
1.4394 0.0000 13.3407
0.0000 0.0000 8.8938
1.4394 1.4394 0.0000
```